The following is a DFT calculation (GGA-PBE) of a relaxed structure of LiCaHf2Ta.

Properties
Mass density (g/cm³): 6.934
VASP energy (eV per cell): -31.6
Symmetry: P4/mmm (123)
Total magnetization (μB per cell): 0.000
DOS(E_F) (states/eV/f.u.): 3.9

a b c (Å): 5.095 5.095 5.397
angles (deg): 90.00 90.00 90.00
Fractional positions:
Ca1 0.500 0.500 0.500
Li1 0.000 0.000 0.500
Hf1 0.000 0.500 0.000
Hf2 0.500 0.000 0.000
Ta1 0.000 0.000 0.000